# Pm2HfAl

An optimized crystal structure of Pm2HfAl (PBE, Alexandria via LeMat-Bulk).

abc: 4.739 4.642 4.642
angles: 90.00 90.00 90.00
Fractional positions:
Hf 0.500 0.500 0.500
Al 0.500 0.000 0.000
Pm 0.000 0.000 0.500
Pm 0.000 0.500 0.000

Values from the calculation:
Its density of states at the Fermi level is 2.648 states/eV/cell. Its total magnetization is 0.0 μB/f.u. The relative energy among the computed polymorphs is 0.000 eV per atom. Its total energy is -5.85 eV/atom. The space group is P4/mmm (123). Its formation energy from the elements is -0.2 eV per formula unit. Its volume is 25.54 A^3/atom.

---

# Rb2SeNF6

An optimized crystal structure of Rb2SeNF6 (PBE, Alexandria via LeMat-Bulk).

abc: 6.503 6.503 6.515
angles: 60.06 60.06 90.00
Fractional positions:
N 0.500 0.500 0.000
Se 0.000 0.000 0.000
Rb 0.750 0.250 0.500
Rb 0.250 0.750 0.500
F 0.213 0.213 0.575
F 0.787 0.787 0.425
F 0.213 0.213 0.000
F 0.787 0.787 0.000
F 0.787 0.213 0.000
F 0.213 0.787 0.000

Values from the calculation:
Its density of states at the Fermi level is 0.000 states/eV/cell. The energy relative to the elements, uncorrected comes out at -1456 kJ/mol of formula units. Its total magnetization is 3.0 μB/f.u. Its total energy is -4.01 eV/atom. The space group is I4/mmm (139). Its volume is 19.52 A^3/atom.

---

# CsKPaI6

An optimized crystal structure of CsKPaI6 (PBE, Alexandria via LeMat-Bulk).

abc: 8.772 8.772 15.923
angles: 90.00 90.00 120.00
Fractional positions:
Cs 0.000 0.000 0.000
Cs 0.000 0.000 0.500
K 0.333 0.667 0.250
K 0.667 0.333 0.750
Pa 0.667 0.333 0.250
Pa 0.333 0.667 0.750
I 0.655 0.610 0.138
I 0.955 0.345 0.138
I 0.345 0.955 0.638
I 0.045 0.655 0.862
I 0.390 0.345 0.362
I 0.955 0.610 0.362
I 0.610 0.955 0.862
I 0.655 0.045 0.362
I 0.045 0.390 0.638
I 0.390 0.045 0.138
I 0.610 0.655 0.638
I 0.345 0.390 0.862

Values from the calculation:
Its density of states at the Fermi level is 1.575 states/eV/cell. The energy relative to the elements, uncorrected comes out at -1074 kJ/mol of formula units. Its total magnetization is 1.0 μB/f.u. Its total energy is -3.54 eV/atom. The space group is P-31c (163). Its volume is 58.95 A^3/atom.

---

# InNiTePb2

An optimized crystal structure of InNiTePb2 (PBE, Alexandria via LeMat-Bulk).

abc: 5.225 5.225 5.063
angles: 90.00 90.00 90.00
Fractional positions:
Pb 0.000 0.500 0.000
Pb 0.500 0.000 0.000
Ni 0.000 0.000 0.000
Te 0.500 0.500 0.500
In 0.000 0.000 0.500

Values from the calculation:
Its density of states at the Fermi level is 1.556 states/eV/cell. The energy relative to the elements, uncorrected comes out at -41 kJ/mol of formula units. Its total magnetization is 0.0 μB/f.u. Its total energy is -3.90 eV/atom. The space group is P4/mmm (123). Its volume is 27.64 A^3/atom.

---

# Dy2MgZn2Ni5

An optimized crystal structure of Dy2MgZn2Ni5 (PBE, Alexandria via LeMat-Bulk).

abc: 3.626 9.323 9.323
angles: 90.00 90.00 90.00
Fractional positions:
Dy 0.000 0.680 0.180
Dy 0.000 0.320 0.820
Dy 0.000 0.180 0.320
Dy 0.000 0.820 0.680
Mg 0.000 0.000 0.000
Mg 0.000 0.500 0.500
Zn 0.000 0.116 0.616
Zn 0.000 0.884 0.384
Zn 0.000 0.616 0.884
Zn 0.000 0.384 0.116
Ni 0.500 0.213 0.064
Ni 0.500 0.787 0.936
Ni 0.500 0.064 0.787
Ni 0.500 0.713 0.436
Ni 0.500 0.936 0.213
Ni 0.500 0.287 0.564
Ni 0.500 0.564 0.713
Ni 0.500 0.436 0.287
Ni 0.500 0.500 0.000
Ni 0.500 0.000 0.500

Values from the calculation:
Its density of states at the Fermi level is 10.258 states/eV/cell. Its total magnetization is 0.0 μB/f.u. Its total energy is -4.48 eV/atom. The space group is P4/mbm (127). Its formation energy from the elements is -2.6 eV per formula unit. Its volume is 15.76 A^3/atom.

---

# BaPrEuIn

An optimized crystal structure of BaPrEuIn (PBE, Alexandria via LeMat-Bulk).

abc: 5.920 5.920 5.920
angles: 60.00 60.00 60.00
Fractional positions:
Eu 0.750 0.750 0.750
Pr 0.500 0.500 0.500
Ba 0.000 0.000 0.000
In 0.250 0.250 0.250

Values from the calculation:
Its density of states at the Fermi level is 3.328 states/eV/cell. Its total magnetization is 7.3 μB/f.u. Its total energy is -5.03 eV/atom. The space group is F-43m (216). Its formation energy from the elements is -0.4 eV per formula unit. Its volume is 36.68 A^3/atom.

---

# K12Rb5Au2

An optimized crystal structure of K12Rb5Au2 (PBE, Alexandria via LeMat-Bulk).

abc: 8.823 11.550 13.636
angles: 96.17 108.88 90.00
Fractional positions:
K 0.047 0.149 0.094
K 0.366 0.876 0.214
K 0.849 0.876 0.214
K 0.409 0.515 0.319
K 0.910 0.515 0.319
K 0.460 0.742 0.921
K 0.540 0.258 0.079
K 0.591 0.485 0.681
K 0.090 0.485 0.681
K 0.634 0.124 0.786
K 0.151 0.124 0.786
K 0.953 0.851 0.906
Rb 0.774 0.811 0.548
Rb 0.722 0.188 0.444
Rb 0.000 0.500 0.000
Rb 0.278 0.812 0.556
Rb 0.226 0.189 0.452
Au 0.664 0.000 0.000
Au 0.336 0.000 0.000

Values from the calculation:
Its density of states at the Fermi level is 13.209 states/eV/cell. Its total magnetization is 0.0 μB/f.u. Its total energy is -1.33 eV/atom. The space group is C2/m (12). Its formation energy from the elements is -0.8 eV per formula unit. Its volume is 68.76 A^3/atom.

---

# CaFe2P

An optimized crystal structure of CaFe2P (PBE, Alexandria via LeMat-Bulk).

abc: 3.932 3.932 5.572
angles: 69.31 69.31 60.00
Fractional positions:
Ca 0.248 0.248 0.256
Fe 0.054 0.054 0.837
Fe 0.757 0.757 0.730
P 0.441 0.441 0.677

Values from the calculation:
Its density of states at the Fermi level is 3.692 states/eV/cell. Its total magnetization is 3.4 μB/f.u. Its total energy is -6.46 eV/atom. The space group is R3m (160). Its formation energy from the elements is -1.5 eV per formula unit. Its volume is 17.03 A^3/atom.

---

# Hf3AlGa2

An optimized crystal structure of Hf3AlGa2 (PBE, Alexandria via LeMat-Bulk).

abc: 4.162 9.904 10.956
angles: 90.00 90.00 90.00
Fractional positions:
Hf 0.250 0.379 0.031
Hf 0.750 0.621 0.969
Hf 0.750 0.879 0.469
Hf 0.250 0.121 0.531
Hf 0.250 0.672 0.203
Hf 0.750 0.328 0.797
Hf 0.750 0.172 0.297
Hf 0.250 0.828 0.703
Hf 0.250 0.401 0.358
Hf 0.750 0.599 0.642
Hf 0.750 0.901 0.142
Hf 0.250 0.099 0.858
Al 0.250 0.106 0.129
Al 0.750 0.894 0.871
Al 0.750 0.606 0.371
Al 0.250 0.394 0.629
Ga 0.250 0.679 0.485
Ga 0.750 0.321 0.515
Ga 0.750 0.179 0.015
Ga 0.250 0.821 0.985
Ga 0.250 0.954 0.316
Ga 0.750 0.046 0.684
Ga 0.750 0.454 0.184
Ga 0.250 0.546 0.816

Values from the calculation:
Its density of states at the Fermi level is 12.173 states/eV/cell. Its total magnetization is 0.0 μB/f.u. The relative energy among the computed polymorphs is 0.000 eV per atom. Its total energy is -7.02 eV/atom. The space group is Pnma (62). Its formation energy from the elements is -2.4 eV per formula unit. Its volume is 18.82 A^3/atom.

---

# AsOs2Se

An optimized crystal structure of AsOs2Se (PBE, Alexandria via LeMat-Bulk).

abc: 2.892 4.983 4.413
angles: 90.00 90.00 90.00
Fractional positions:
As 0.000 0.500 0.500
Os 0.000 0.000 0.000
Os 0.500 0.500 0.000
Se 0.500 0.000 0.500

Values from the calculation:
Its density of states at the Fermi level is 4.301 states/eV/cell. The energy relative to the elements, uncorrected comes out at 354 kJ/mol of formula units. Its total magnetization is 0.0 μB/f.u. The relative energy among the computed polymorphs is 0.676 eV per atom. Its total energy is -6.73 eV/atom. The space group is Pmmm (47). Its volume is 15.90 A^3/atom.

---

# Ho7In2Pb2

An optimized crystal structure of Ho7In2Pb2 (PBE, Alexandria via LeMat-Bulk).

abc: 6.857 7.916 6.857
angles: 90.00 110.57 90.00
Fractional positions:
Ho 0.000 0.290 0.500
Ho 0.500 0.710 0.000
Ho 0.000 0.710 0.500
Ho 0.500 0.290 0.000
Ho 0.000 0.000 0.000
Ho 0.500 0.762 0.500
Ho 0.500 0.238 0.500
In 0.717 0.000 0.283
In 0.283 0.000 0.717
Pb 0.806 0.500 0.806
Pb 0.194 0.500 0.194

Values from the calculation:
Its density of states at the Fermi level is 12.490 states/eV/cell. Its total magnetization is 0.0 μB/f.u. Its total energy is -4.14 eV/atom. The space group is Cmmm (65). Its formation energy from the elements is -0.6 eV per formula unit. Its volume is 31.68 A^3/atom.